Record 1
Material: MgBe2Rh2
Method: DFT, PBEsol
State: relaxed

```
data_MgBe2Rh2
_chemical_formula_sum 'Mg2 Be4 Rh4'
_space_group_name_H-M_alt 'P 4/m b m'
_space_group_IT_number 127
_space_group_name_Hall '-P 4 2ab'
_cell_length_a 6.299
_cell_length_b 6.299
_cell_length_c 2.905
_cell_angle_alpha 90.00
_cell_angle_beta 90.00
_cell_angle_gamma 90.00
loop_
_atom_site_label
_atom_site_type_symbol
_atom_site_fract_x
_atom_site_fract_y
_atom_site_fract_z
Mg1 Mg 0.000 0.000 0.000
Be1 Be 0.123 0.377 0.000
Rh1 Rh 0.165 0.665 0.500
```

Properties
- size of the total moment (μB/f.u.) = 0.00
- mass density (g/cm³) = 7.2
- calculated volume (Å³/cell) = 115.2
- energy relative to the elements (eV per atom) = -0.59

=====

Record 2
Material: Mg2BeRh2
Method: DFT, PBEsol
State: relaxed

```
data_Mg2BeRh2
_chemical_formula_sum 'Mg4 Be2 Rh4'
_space_group_name_H-M_alt 'P 4/m b m'
_space_group_IT_number 127
_space_group_name_Hall '-P 4 2ab'
_cell_length_a 5.988
_cell_length_b 5.988
_cell_length_c 4.097
_cell_angle_alpha 90.00
_cell_angle_beta 90.00
_cell_angle_gamma 90.00
loop_
_atom_site_label
_atom_site_type_symbol
_atom_site_fract_x
_atom_site_fract_y
_atom_site_fract_z
Mg1 Mg 0.166 0.334 0.000
Be1 Be 0.000 0.000 0.500
Rh1 Rh 0.151 0.651 0.500
```

Properties
- size of the total moment (μB/f.u.) = 0.00
- mass density (g/cm³) = 6.0
- calculated volume (Å³/cell) = 146.9
- energy relative to the elements (eV per atom) = -0.37

=====

Record 3
Material: Mg2BeRh
Method: DFT, PBEsol
State: relaxed

```
data_Mg2BeRh
_chemical_formula_sum 'Mg4 Be2 Rh2'
_space_group_name_H-M_alt 'I -4 m 2'
_space_group_IT_number 119
_space_group_name_Hall 'I -4 -2'
_cell_length_a 3.774
_cell_length_b 3.774
_cell_length_c 8.024
_cell_angle_alpha 90.00
_cell_angle_beta 90.00
_cell_angle_gamma 90.00
loop_
_atom_site_label
_atom_site_type_symbol
_atom_site_fract_x
_atom_site_fract_y
_atom_site_fract_z
Mg1 Mg 0.000 0.000 0.000
Mg2 Mg 0.000 0.500 0.250
Be1 Be 0.000 0.500 0.750
Rh1 Rh 0.000 0.000 0.500
```

Properties
- size of the total moment (μB/f.u.) = 0.00
- mass density (g/cm³) = 4.7
- calculated volume (Å³/cell) = 114.3
- energy relative to the elements (eV per atom) = -0.14

=====

Record 4
Material: MgBeRh
Method: DFT, PBEsol
State: relaxed

```
data_MgBeRh
_chemical_formula_sum 'Mg2 Be2 Rh2'
_space_group_name_H-M_alt 'I 4 m m'
_space_group_IT_number 107
_space_group_name_Hall 'I 4 -2'
_cell_length_a 2.962
_cell_length_b 2.962
_cell_length_c 9.095
_cell_angle_alpha 90.00
_cell_angle_beta 90.00
_cell_angle_gamma 90.00
loop_
_atom_site_label
_atom_site_type_symbol
_atom_site_fract_x
_atom_site_fract_y
_atom_site_fract_z
Mg1 Mg 0.000 0.000 0.000
Be1 Be 0.000 0.000 0.291
Rh1 Rh 0.000 0.000 0.696
```

Properties
- size of the total moment (μB/f.u.) = 0.00
- mass density (g/cm³) = 5.7
- calculated volume (Å³/cell) = 79.8
- energy relative to the elements (eV per atom) = -0.42

=====

Record 5
Material: MgBe2Ru2
Method: DFT, PBEsol
State: relaxed

```
data_MgBe2Ru2
_chemical_formula_sum 'Mg2 Be4 Ru4'
_space_group_name_H-M_alt 'P 4/m b m'
_space_group_IT_number 127
_space_group_name_Hall '-P 4 2ab'
_cell_length_a 6.020
_cell_length_b 6.020
_cell_length_c 3.110
_cell_angle_alpha 90.00
_cell_angle_beta 90.00
_cell_angle_gamma 90.00
loop_
_atom_site_label
_atom_site_type_symbol
_atom_site_fract_x
_atom_site_fract_y
_atom_site_fract_z
Mg1 Mg 0.000 0.000 0.000
Be1 Be 0.120 0.380 0.000
Ru1 Ru 0.171 0.671 0.500
```

Properties
- size of the total moment (μB/f.u.) = 0.00
- mass density (g/cm³) = 7.2
- calculated volume (Å³/cell) = 112.7
- energy relative to the elements (eV per atom) = -0.25

=====

Record 6
Material: MgBeRu
Method: DFT, PBEsol
State: relaxed

```
data_MgBeRu
_chemical_formula_sum 'Mg1 Be1 Ru1'
_space_group_name_H-M_alt 'P 3 m 1'
_space_group_IT_number 156
_cell_length_a 4.1129
_cell_length_b 4.1129
_cell_length_c 2.6597
_cell_angle_alpha 90.00
_cell_angle_beta 90.00
_cell_angle_gamma 120.00
loop_
_space_group_symop_operation_xyz
'x,y,z'
'-y,x-y,z'
'-x+y,-x,z'
'-y,-x,z'
'-x+y,y,z'
'x,x-y,z'
loop_
_atom_site_label
_atom_site_type_symbol
_atom_site_fract_x
_atom_site_fract_y
_atom_site_fract_z
Mg1 Mg 0.0000 0.0000 0.0000
Be1 Be 0.3333 0.6667 0.6549
Ru1 Ru 0.6667 0.3333 0.4459
```

Properties
- size of the total moment (μB/f.u.) = 0.00
- mass density (g/cm³) = 5.7
- calculated volume (Å³/cell) = 39.0
- energy relative to the elements (eV per atom) = 0.14

=====

Record 7
Material: MgBeRu3
Method: DFT, PBEsol
State: relaxed

```
data_MgBeRu3
_chemical_formula_sum 'Mg1 Be1 Ru3'
_space_group_name_H-M_alt 'P m -3 m'
_space_group_IT_number 221
_space_group_name_Hall '-P 4 2 3'
_cell_length_a 4.363
_cell_length_b 4.363
_cell_length_c 4.363
_cell_angle_alpha 90.00
_cell_angle_beta 90.00
_cell_angle_gamma 90.00
loop_
_atom_site_label
_atom_site_type_symbol
_atom_site_fract_x
_atom_site_fract_y
_atom_site_fract_z
Mg1 Mg 0.000 0.000 0.000
Be1 Be 0.500 0.500 0.500
Ru1 Ru 0.000 0.000 0.500
```

Properties
- size of the total moment (μB/f.u.) = 1.98
- mass density (g/cm³) = 6.7
- calculated volume (Å³/cell) = 83.0
- energy relative to the elements (eV per atom) = 2.17

=====

Record 8
Material: Mg3BeS
Method: DFT, PBEsol
State: relaxed

```
data_Mg3BeS
_chemical_formula_sum 'Mg3 Be1 S1'
_space_group_name_H-M_alt 'P m -3 m'
_space_group_IT_number 221
_space_group_name_Hall '-P 4 2 3'
_cell_length_a 4.749
_cell_length_b 4.749
_cell_length_c 4.749
_cell_angle_alpha 90.00
_cell_angle_beta 90.00
_cell_angle_gamma 90.00
loop_
_atom_site_label
_atom_site_type_symbol
_atom_site_fract_x
_atom_site_fract_y
_atom_site_fract_z
Mg1 Mg 0.000 0.000 0.500
Be1 Be 0.500 0.500 0.500
S1 S 0.000 0.000 0.000
```

Properties
- size of the total moment (μB/f.u.) = 0.00
- mass density (g/cm³) = 1.8
- uncorrected formation energy (eV per atom) = 0.19
- calculated volume (Å³/cell) = 107.1

=====

Record 9
Material: MgBeS3
Method: DFT, PBEsol
State: relaxed

```
data_MgBeS3
_chemical_formula_sum 'Mg1 Be1 S3'
_space_group_name_H-M_alt 'P m -3 m'
_space_group_IT_number 221
_space_group_name_Hall '-P 4 2 3'
_cell_length_a 4.671
_cell_length_b 4.671
_cell_length_c 4.671
_cell_angle_alpha 90.00
_cell_angle_beta 90.00
_cell_angle_gamma 90.00
loop_
_atom_site_label
_atom_site_type_symbol
_atom_site_fract_x
_atom_site_fract_y
_atom_site_fract_z
Mg1 Mg 0.000 0.000 0.000
Be1 Be 0.500 0.500 0.500
S1 S 0.000 0.000 0.500
```

Properties
- size of the total moment (μB/f.u.) = 0.00
- mass density (g/cm³) = 2.1
- uncorrected formation energy (eV per atom) = 0.67
- calculated volume (Å³/cell) = 101.9

=====

Record 10
Material: Mg2BeSb
Method: DFT, PBEsol
State: relaxed

```
data_Mg2BeSb
_chemical_formula_sum 'Mg4 Be2 Sb2'
_space_group_name_H-M_alt 'A m m 2'
_space_group_IT_number 38
_cell_length_a 3.903
_cell_length_b 4.119
_cell_length_c 10.106
_cell_angle_alpha 90.00
_cell_angle_beta 90.00
_cell_angle_gamma 90.00
loop_
_space_group_symop_operation_xyz
'x,y,z'
'-x,-y,z'
'-x,y,z'
'x,-y,z'
'x,y+1/2,z+1/2'
'-x,-y+1/2,z+1/2'
'-x,y+1/2,z+1/2'
'x,-y+1/2,z+1/2'
loop_
_atom_site_label
_atom_site_type_symbol
_atom_site_fract_x
_atom_site_fract_y
_atom_site_fract_z
Mg1 Mg 0.000 0.000 0.000
Mg2 Mg 0.500 0.000 0.309
Be1 Be 0.500 0.000 0.566
Sb1 Sb 0.000 0.000 0.712
```

Properties
- size of the total moment (μB/f.u.) = 0.00
- mass density (g/cm³) = 3.7
- uncorrected formation energy (eV per atom) = 0.03
- calculated volume (Å³/cell) = 162.4

=====

Record 11
Material: Mg2BeSb
Method: DFT, PBEsol
State: relaxed

```
data_Mg2BeSb
_chemical_formula_sum 'Mg8 Be4 Sb4'
_space_group_name_H-M_alt 'I -4 2 d'
_space_group_IT_number 122
_space_group_name_Hall 'I -4 2bw'
_cell_length_a 4.188
_cell_length_b 4.188
_cell_length_c 19.062
_cell_angle_alpha 90.00
_cell_angle_beta 90.00
_cell_angle_gamma 90.00
loop_
_atom_site_label
_atom_site_type_symbol
_atom_site_fract_x
_atom_site_fract_y
_atom_site_fract_z
Mg1 Mg 0.227 0.250 0.125
Be1 Be 0.000 0.000 0.000
Sb1 Sb 0.000 0.000 0.500
```

Properties
- size of the total moment (μB/f.u.) = 0.00
- mass density (g/cm³) = 3.6
- uncorrected formation energy (eV per atom) = 0.31
- calculated volume (Å³/cell) = 334.4

=====

Record 12
Material: MgBe2Sb
Method: DFT, PBEsol
State: relaxed

```
data_MgBe2Sb
_chemical_formula_sum 'Mg1 Be2 Sb1'
_space_group_name_H-M_alt 'P 4/m m m'
_space_group_IT_number 123
_space_group_name_Hall '-P 4 2'
_cell_length_a 3.482
_cell_length_b 3.482
_cell_length_c 5.465
_cell_angle_alpha 90.00
_cell_angle_beta 90.00
_cell_angle_gamma 90.00
loop_
_atom_site_label
_atom_site_type_symbol
_atom_site_fract_x
_atom_site_fract_y
_atom_site_fract_z
Mg1 Mg 0.000 0.000 0.000
Be1 Be 0.500 0.500 0.285
Sb1 Sb 0.000 0.000 0.500
```

Properties
- size of the total moment (μB/f.u.) = 0.00
- mass density (g/cm³) = 4.1
- uncorrected formation energy (eV per atom) = 0.48
- calculated volume (Å³/cell) = 66.2

=====

Record 13
Material: MgBe2Sb
Method: DFT, PBEsol
State: relaxed

```
data_MgBe2Sb
_chemical_formula_sum 'Mg4 Be8 Sb4'
_space_group_name_H-M_alt 'I -4 2 d'
_space_group_IT_number 122
_space_group_name_Hall 'I -4 2bw'
_cell_length_a 7.339
_cell_length_b 7.339
_cell_length_c 5.437
_cell_angle_alpha 90.00
_cell_angle_beta 90.00
_cell_angle_gamma 90.00
loop_
_atom_site_label
_atom_site_type_symbol
_atom_site_fract_x
_atom_site_fract_y
_atom_site_fract_z
Mg1 Mg 0.000 0.000 0.000
Be1 Be 0.205 0.250 0.625
Sb1 Sb 0.000 0.000 0.500
```

Properties
- size of the total moment (μB/f.u.) = 0.00
- mass density (g/cm³) = 3.7
- uncorrected formation energy (eV per atom) = 0.60
- calculated volume (Å³/cell) = 292.8

=====

Record 14
Material: Mg2ScBe
Method: DFT, PBEsol
State: relaxed

```
data_Mg2ScBe
_chemical_formula_sum 'Mg4 Sc2 Be2'
_space_group_name_H-M_alt 'C 1 m 1'
_space_group_IT_number 8
_cell_length_a 10.610
_cell_length_b 3.334
_cell_length_c 4.851
_cell_angle_alpha 90.00
_cell_angle_beta 117.16
_cell_angle_gamma 90.00
loop_
_space_group_symop_operation_xyz
'x,y,z'
'x,-y,z'
'x+1/2,y+1/2,z'
'x+1/2,-y+1/2,z'
loop_
_atom_site_label
_atom_site_type_symbol
_atom_site_fract_x
_atom_site_fract_y
_atom_site_fract_z
Mg1 Mg 0.000 0.000 0.000
Mg2 Mg 0.216 0.000 0.717
Sc1 Sc 0.431 0.000 0.431
Be1 Be 0.209 0.500 0.212
```

Properties
- size of the total moment (μB/f.u.) = 0.00
- mass density (g/cm³) = 2.2
- calculated volume (Å³/cell) = 152.7
- energy relative to the elements (eV per atom) = 0.22

=====

Record 15
Material: Mg2ScBe
Method: DFT, PBEsol
State: relaxed

```
data_Mg2ScBe
_chemical_formula_sum 'Mg2 Sc1 Be1'
_space_group_name_H-M_alt 'P 4 m m'
_space_group_IT_number 99
_cell_length_a 3.068
_cell_length_b 3.068
_cell_length_c 7.954
_cell_angle_alpha 90.00
_cell_angle_beta 90.00
_cell_angle_gamma 90.00
loop_
_space_group_symop_operation_xyz
'x,y,z'
'-y,x,z'
'-x,-y,z'
'y,-x,z'
'-x,y,z'
'y,x,z'
'x,-y,z'
'-y,-x,z'
loop_
_atom_site_label
_atom_site_type_symbol
_atom_site_fract_x
_atom_site_fract_y
_atom_site_fract_z
Mg1 Mg 0.000 0.000 0.000
Mg2 Mg 0.500 0.500 0.295
Sc1 Sc 0.000 0.000 0.600
Be1 Be 0.500 0.500 0.803
```

Properties
- size of the total moment (μB/f.u.) = 0.14
- mass density (g/cm³) = 2.3
- calculated volume (Å³/cell) = 74.9
- energy relative to the elements (eV per atom) = 0.06

=====

Record 16
Material: MgSc2Be2
Method: DFT, PBEsol
State: relaxed

```
data_MgSc2Be2
_chemical_formula_sum 'Mg2 Sc4 Be4'
_space_group_name_H-M_alt 'P 4/m b m'
_space_group_IT_number 127
_space_group_name_Hall '-P 4 2ab'
_cell_length_a 7.008
_cell_length_b 7.008
_cell_length_c 3.484
_cell_angle_alpha 90.00
_cell_angle_beta 90.00
_cell_angle_gamma 90.00
loop_
_atom_site_label
_atom_site_type_symbol
_atom_site_fract_x
_atom_site_fract_y
_atom_site_fract_z
Mg1 Mg 0.000 0.000 0.000
Sc1 Sc 0.169 0.331 0.500
Be1 Be 0.116 0.616 0.000
```

Properties
- size of the total moment (μB/f.u.) = 0.00
- mass density (g/cm³) = 2.6
- calculated volume (Å³/cell) = 171.1
- energy relative to the elements (eV per atom) = 0.00

=====

Record 17
Material: Mg2ScBe
Method: DFT, PBEsol
State: relaxed

```
data_Mg2ScBe
_chemical_formula_sum 'Mg6 Sc3 Be3'
_space_group_name_H-M_alt 'R -3 m'
_space_group_IT_number 166
_space_group_name_Hall '-R 3 2"'
_cell_length_a 3.0409
_cell_length_b 3.0409
_cell_length_c 28.9049
_cell_angle_alpha 90.00
_cell_angle_beta 90.00
_cell_angle_gamma 120.00
loop_
_atom_site_label
_atom_site_type_symbol
_atom_site_fract_x
_atom_site_fract_y
_atom_site_fract_z
Mg1 Mg 0.0000 0.0000 0.2388
Sc1 Sc 0.0000 0.0000 0.0000
Be1 Be 0.0000 0.0000 0.5000
```

Properties
- size of the total moment (μB/f.u.) = 0.00
- mass density (g/cm³) = 2.2
- calculated volume (Å³/cell) = 231.5
- energy relative to the elements (eV per atom) = 0.33

=====

Record 18
Material: MgBe2Se
Method: DFT, PBEsol
State: relaxed

```
data_MgBe2Se
_chemical_formula_sum 'Mg2 Be4 Se2'
_space_group_name_H-M_alt 'C m m m'
_space_group_IT_number 65
_space_group_name_Hall '-C 2 2'
_cell_length_a 4.904
_cell_length_b 7.295
_cell_length_c 3.413
_cell_angle_alpha 90.00
_cell_angle_beta 90.00
_cell_angle_gamma 90.00
loop_
_atom_site_label
_atom_site_type_symbol
_atom_site_fract_x
_atom_site_fract_y
_atom_site_fract_z
Mg1 Mg 0.000 0.000 0.000
Be1 Be 0.250 0.250 0.500
Se1 Se 0.000 0.500 0.000
```

Properties
- size of the total moment (μB/f.u.) = 0.00
- mass density (g/cm³) = 3.3
- uncorrected formation energy (eV per atom) = 0.30
- calculated volume (Å³/cell) = 122.1

=====

Record 19
Material: MgBeSe4
Method: DFT, PBEsol
State: relaxed

```
data_MgBeSe4
_chemical_formula_sum 'Mg4 Be4 Se16'
_space_group_name_H-M_alt 'F -4 3 m'
_space_group_IT_number 216
_space_group_name_Hall 'F -4 2 3'
_cell_length_a 7.980
_cell_length_b 7.980
_cell_length_c 7.980
_cell_angle_alpha 90.00
_cell_angle_beta 90.00
_cell_angle_gamma 90.00
loop_
_atom_site_label
_atom_site_type_symbol
_atom_site_fract_x
_atom_site_fract_y
_atom_site_fract_z
Mg1 Mg 0.000 0.000 0.000
Be1 Be 0.250 0.250 0.250
Se1 Se 0.124 0.124 0.624
```

Properties
- size of the total moment (μB/f.u.) = 0.00
- mass density (g/cm³) = 4.6
- uncorrected formation energy (eV per atom) = 0.60
- calculated volume (Å³/cell) = 508.1

=====

Record 20
Material: Mg2BeSe
Method: DFT, PBEsol
State: relaxed

```
data_Mg2BeSe
_chemical_formula_sum 'Mg2 Be1 Se1'
_space_group_name_H-M_alt 'P 4/m m m'
_space_group_IT_number 123
_space_group_name_Hall '-P 4 2'
_cell_length_a 4.520
_cell_length_b 4.520
_cell_length_c 3.479
_cell_angle_alpha 90.00
_cell_angle_beta 90.00
_cell_angle_gamma 90.00
loop_
_atom_site_label
_atom_site_type_symbol
_atom_site_fract_x
_atom_site_fract_y
_atom_site_fract_z
Mg1 Mg 0.000 0.500 0.000
Be1 Be 0.000 0.000 0.500
Se1 Se 0.500 0.500 0.500
```

Properties
- size of the total moment (μB/f.u.) = 0.00
- mass density (g/cm³) = 3.2
- uncorrected formation energy (eV per atom) = 0.01
- calculated volume (Å³/cell) = 71.1